Record 1
A plane-wave DFT calculation with GGA-PBE was carried out for Ac2ScZnAu6 after structural relaxation.

## Properties
**Total magnetic moment**: 0.000 μB/f.u.
**ΔE_f**: -40 kJ per mole of atoms
**E**: -0.2917 Ry per atom

Cell lengths 10.183, 10.183, 10.183 Å; angles 90.00, 90.00, 90.00 degrees
Space group Fm-3m (No. 225)
One atom of each set of equivalent atoms:
Ac1 0.250 0.250 0.250 (multiplicity 8)
Sc1 0.000 0.000 0.000 (multiplicity 4)
Zn1 0.000 0.000 0.500 (multiplicity 4)
Au1 0.000 0.000 0.257 (multiplicity 24)

Record 2
A plane-wave DFT calculation with GGA-PBE was carried out for Ac5AuSe4 after structural relaxation.

## Properties
**Total magnetic moment**: 0.000 μB/f.u.
**Uncorrected formation energy**: -16.45 eV/f.u.
**E**: -0.3984 Ry per atom

Cell lengths 4.455, 6.378, 22.778 Å; angles 90.00, 90.00, 90.00 degrees
Space group Immm (No. 71)
One atom of each set of equivalent atoms:
Ac1 0.000 0.000 0.000 (multiplicity 2)
Ac2 0.000 0.000 0.199 (multiplicity 4)
Ac3 0.000 0.000 0.401 (multiplicity 4)
Au1 0.000 0.500 0.000 (multiplicity 2)
Se1 0.000 0.500 0.202 (multiplicity 4)
Se2 0.000 0.500 0.398 (multiplicity 4)

Record 3
A plane-wave DFT calculation with GGA-PBE was carried out for AcAuSe3 after structural relaxation.

## Properties
**Total magnetic moment**: 0.000 μB/f.u.
**Uncorrected formation energy**: -4.77 eV/f.u.
**E**: -0.3323 Ry per atom

Cell lengths 10.191, 16.396, 6.544 Å; angles 90.00, 90.00, 90.00 degrees
Space group Cmce (No. 64)
One atom of each set of equivalent atoms:
Ac1 0.250 0.164 0.250 (multiplicity 8)
Au1 0.000 0.099 0.653 (multiplicity 8)
Se1 0.000 0.037 0.170 (multiplicity 8)
Se2 0.000 0.233 0.480 (multiplicity 8)
Se3 0.250 0.135 0.750 (multiplicity 8)

Record 4
A plane-wave DFT calculation with GGA-PBE was carried out for Ac5AuSe8 after structural relaxation.

## Properties
**Total magnetic moment**: 0.000 μB/f.u.
**Uncorrected formation energy**: -24.53 eV/f.u.
**E**: -0.4002 Ry per atom

Cell lengths 9.273, 9.273, 9.515 Å; angles 90.00, 90.00, 90.00 degrees
Space group I-4 (No. 82)
One atom of each set of equivalent atoms:
Ac1 0.000 0.000 0.000 (multiplicity 2)
Ac2 0.132 0.749 0.386 (multiplicity 8)
Au1 0.000 0.500 0.750 (multiplicity 2)
Se1 0.063 0.812 0.709 (multiplicity 8)
Se2 0.081 0.682 0.070 (multiplicity 8)

Record 5
A plane-wave DFT calculation with GGA-PBE was carried out for AcAuSe2 after structural relaxation.

## Properties
**Total magnetic moment**: 0.000 μB/f.u.
**Uncorrected formation energy**: -5.23 eV/f.u.
**Polymorph energy (0 for the lowest one)**: 0.0 kJ/mol of atoms
**E**: -0.3599 Ry per atom

Cell lengths 6.730, 7.923, 8.218 Å; angles 90.00, 90.00, 90.00 degrees
Space group Pbcm (No. 57)
One atom of each set of equivalent atoms:
Ac1 0.171 0.040 0.250 (multiplicity 4)
Au1 0.500 0.250 0.000 (multiplicity 4)
Se1 0.085 0.750 0.000 (multiplicity 4)
Se2 0.381 0.090 0.750 (multiplicity 4)

Record 6
A plane-wave DFT calculation with GGA-PBE was carried out for Ac3AuSe3 after structural relaxation.

## Properties
**Total magnetic moment**: 0.011 μB/f.u.
**Uncorrected formation energy**: -10.05 eV/f.u.
**E**: -0.3792 Ry per atom

Cell lengths 6.318, 6.318, 6.318 Å; angles 90.00, 90.00, 90.00 degrees
Space group Pm-3m (No. 221)
One atom of each set of equivalent atoms:
Ac1 0.000 0.000 0.500 (multiplicity 3)
Au1 0.000 0.000 0.000 (multiplicity 1)
Se1 0.000 0.500 0.500 (multiplicity 3)

Record 7
A plane-wave DFT calculation with GGA-PBE was carried out for AcAuSe2 after structural relaxation.

## Properties
**Total magnetic moment**: 0.000 μB/f.u.
**Uncorrected formation energy**: -4.84 eV/f.u.
**Polymorph energy (0 for the lowest one)**: 9.5 kJ/mol of atoms
**E**: -0.3527 Ry per atom

Cell lengths 4.8345, 4.8345, 23.0829 Å; angles 90.00, 90.00, 120.00 degrees
Space group R-3m (No. 166, hexagonal axes)
One atom of each set of equivalent atoms:
Ac1 0.0000 0.0000 0.0000 (multiplicity 3)
Au1 0.0000 0.0000 0.5000 (multiplicity 3)
Se1 0.0000 0.0000 0.3948 (multiplicity 6)

Record 8
A plane-wave DFT calculation with GGA-PBE was carried out for Ac4AuSe3 after structural relaxation.

## Properties
**Total magnetic moment**: 0.000 μB/f.u.
**Uncorrected formation energy**: -12.67 eV/f.u.
**E**: -0.3936 Ry per atom

Cell lengths 9.172, 12.847, 4.415 Å; angles 90.00, 90.00, 90.00 degrees
Space group Cmmm (No. 65)
One atom of each set of equivalent atoms:
Ac1 0.000 0.249 0.000 (multiplicity 4)
Ac2 0.244 0.500 0.500 (multiplicity 4)
Au1 0.000 0.500 0.000 (multiplicity 2)
Se1 0.000 0.000 0.000 (multiplicity 2)
Se2 0.250 0.250 0.500 (multiplicity 4)